Entry 1:
Compound: Sr2CrSe
Source: Alexandria
Functional: PBE
Structure: relaxed

Properties
Raw formation energy (kJ/mol of formula units): -172

The structure in CIF format:
```
data_Sr2CrSe
_cell_length_a 3.934
_cell_length_b 3.945
_cell_length_c 7.775
_cell_angle_alpha 90.00
_cell_angle_beta 90.00
_cell_angle_gamma 90.00
_space_group_name_H-M_alt 'P m m m'
_space_group_IT_number 47
loop_
_space_group_symop_operation_xyz
'x,y,z'
'-x,-y,-z'
'-x,-y,z'
'x,y,-z'
'x,-y,-z'
'-x,y,z'
'-x,y,-z'
'x,-y,z'
loop_
_atom_site_label
_atom_site_type_symbol
_atom_site_fract_x
_atom_site_fract_y
_atom_site_fract_z
Sr1 Sr 0.000 0.000 0.233
Cr1 Cr 0.500 0.500 0.500
Se1 Se 0.500 0.500 0.000
```

Entry 2:
Compound: Sr2CrSe
Source: Alexandria
Functional: PBE
Structure: relaxed

Properties
Raw formation energy (kJ/mol of formula units): -162

The structure in CIF format:
```
data_Sr2CrSe
_cell_length_a 4.3507
_cell_length_b 4.3507
_cell_length_c 25.7595
_cell_angle_alpha 90.00
_cell_angle_beta 90.00
_cell_angle_gamma 120.00
_space_group_name_H-M_alt 'R -3 m'
_space_group_IT_number 166
_space_group_name_Hall '-R 3 2"'
loop_
_atom_site_label
_atom_site_type_symbol
_atom_site_fract_x
_atom_site_fract_y
_atom_site_fract_z
Sr1 Sr 0.0000 0.0000 0.2386
Cr1 Cr 0.0000 0.0000 0.0000
Se1 Se 0.0000 0.0000 0.5000
```

Entry 3:
Compound: SrCrSe
Source: Alexandria
Functional: PBE
Structure: relaxed

Properties
Distance to the lowest polymorph of the same formula (meV/atom): 568
Raw formation energy (kJ/mol of formula units): 16

The structure in CIF format:
```
data_SrCrSe
_cell_length_a 7.311
_cell_length_b 7.311
_cell_length_c 7.311
_cell_angle_alpha 90.00
_cell_angle_beta 90.00
_cell_angle_gamma 90.00
_space_group_name_H-M_alt 'F -4 3 m'
_space_group_IT_number 216
_space_group_name_Hall 'F -4 2 3'
loop_
_atom_site_label
_atom_site_type_symbol
_atom_site_fract_x
_atom_site_fract_y
_atom_site_fract_z
Sr1 Sr 0.000 0.000 0.000
Cr1 Cr 0.250 0.250 0.250
Se1 Se 0.250 0.250 0.750
```

Entry 4:
Compound: Sr2CrSe
Source: Alexandria
Functional: PBE
Structure: relaxed

Properties
Raw formation energy (kJ/mol of formula units): -124

The structure in CIF format:
```
data_Sr2CrSe
_cell_length_a 3.969
_cell_length_b 4.918
_cell_length_c 12.901
_cell_angle_alpha 90.00
_cell_angle_beta 90.00
_cell_angle_gamma 90.00
_space_group_name_H-M_alt 'I m m 2'
_space_group_IT_number 44
loop_
_space_group_symop_operation_xyz
'x,y,z'
'-x,-y,z'
'-x,y,z'
'x,-y,z'
'x+1/2,y+1/2,z+1/2'
'-x+1/2,-y+1/2,z+1/2'
'-x+1/2,y+1/2,z+1/2'
'x+1/2,-y+1/2,z+1/2'
loop_
_atom_site_label
_atom_site_type_symbol
_atom_site_fract_x
_atom_site_fract_y
_atom_site_fract_z
Sr1 Sr 0.000 0.000 0.000
Sr2 Sr 0.000 0.500 0.216
Cr1 Cr 0.000 0.500 0.817
Se1 Se 0.000 0.000 0.484
```

no.,ρ (Mg/m³),final energy (eV/atom),magnetization (μB per atom)
1,4.2,-4.56,1.23
2,3.6,-4.54,1.46
3,3.7,-4.87,1.97
4,4.0,-4.44,1.13